10
Lattice="5.7226 0.0000 0.0000 0.0000 5.7226 0.0000 0.0000 0.0000 4.4522" Properties=species:S:1:pos:R:3 comment="PBE OsPdPb2O6, optimized geometry" vol_a3_per_atom=14.58 magmom_total_mub_per_fu=1.122 final_energy_ev_per_cell=-61.5 pbc="T T T"
Os 0.0000 0.0000 0.0000
Pd 2.8613 2.8613 0.0848
Pb 0.0000 2.8613 1.9883
Pb 2.8613 0.0000 1.9883
O 0.0000 0.0000 2.6550
O 1.3029 1.3029 0.5036
O 1.3029 4.4197 0.5036
O 2.8613 2.8613 2.4098
O 4.4197 1.3029 0.5036
O 4.4197 4.4197 0.5036